w:
First-principles (GGA-PBE) data for a relaxed structure of LaCSe3, as listed in the Alexandria database.

Crystal system: cubic
Space group: Pm-3m

Lattice parameters (Å, degrees): 4.629 4.629 4.629 90.00 90.00 90.00
Atoms (fractional coordinates):
La  0.000  0.000  0.000
C  0.500  0.500  0.500
Se  0.000  0.500  0.500
Se  0.500  0.000  0.500
Se  0.500  0.500  0.000

=====

x:
First-principles (GGA-PBE) data for a relaxed structure of LaCSe3, as listed in the Alexandria database.

Crystal system: cubic
Space group: Pm-3m

Lattice parameters (Å, degrees): 5.870 5.870 5.870 90.00 90.00 90.00
Atoms (fractional coordinates):
La  0.000  0.000  0.000
C  0.500  0.500  0.500
Se  0.000  0.000  0.500
Se  0.000  0.500  0.000
Se  0.500  0.000  0.000

=====

Going by the energies, w is most stable and the next is 121.3 kJ/mol of atoms up.

=====

w:
First-principles (GGA-PBE) data for a relaxed structure of LaSmC, as listed in the Alexandria database.

Crystal system: monoclinic
Space group: C2/m

Lattice parameters (Å, degrees): 7.568 7.568 6.393 112.86 112.86 28.15
Atoms (fractional coordinates):
La  0.141  0.141  0.317
La  0.859  0.859  0.683
Sm  0.352  0.352  0.178
Sm  0.648  0.648  0.822
C  0.250  0.250  0.755
C  0.750  0.750  0.245

=====

x:
First-principles (GGA-PBE) data for a relaxed structure of LaSmC, as listed in the Alexandria database.

Crystal system: monoclinic
Space group: C2/m

Lattice parameters (Å, degrees): 6.973 6.973 7.490 117.48 117.48 29.23
Atoms (fractional coordinates):
La  0.101  0.101  0.212
La  0.899  0.899  0.788
Sm  0.157  0.157  0.787
Sm  0.843  0.843  0.213
C  0.368  0.368  0.001
C  0.632  0.632  0.999

=====

Going by the energies, w is most stable and the next is 15.0 kJ/mol of atoms up.

=====

w:
First-principles (GGA-PBE) data for a relaxed structure of La4Sn2C, as listed in the Alexandria database.

Crystal system: monoclinic
Space group: P2_1/m

Lattice parameters (Å, degrees): 6.990 7.065 9.772 90.00 110.84 90.00
Atoms (fractional coordinates):
La  0.008  0.000  0.266
La  0.008  0.500  0.266
La  0.391  0.250  0.062
La  0.428  0.250  0.649
La  0.572  0.750  0.351
La  0.609  0.750  0.938
La  0.992  0.000  0.734
La  0.992  0.500  0.734
Sn  0.195  0.750  0.040
Sn  0.297  0.750  0.579
Sn  0.703  0.250  0.421
Sn  0.805  0.250  0.960
C  0.226  0.250  0.800
C  0.774  0.750  0.200

=====

x:
First-principles (GGA-PBE) data for a relaxed structure of La4Sn2C, as listed in the Alexandria database.

Crystal system: tetragonal
Space group: I4/mmm

Lattice parameters (Å, degrees): 9.210 9.210 9.210 147.79 147.79 46.20
Atoms (fractional coordinates):
La  0.000  0.500  0.500
La  0.164  0.164  0.000
La  0.500  0.000  0.500
La  0.836  0.836  0.000
Sn  0.361  0.361  0.000
Sn  0.639  0.639  0.000
C  0.000  0.000  0.000

=====

Going by the energies, x is most stable and the next is 2.3 kJ/mol of atoms up.

=====

w:
First-principles (GGA-PBE) data for a relaxed structure of LaSnC3, as listed in the Alexandria database.

Crystal system: cubic
Space group: Pm-3m

Lattice parameters (Å, degrees): 4.562 4.562 4.562 90.00 90.00 90.00
Atoms (fractional coordinates):
La  0.000  0.000  0.000
Sn  0.500  0.500  0.500
C  0.000  0.000  0.500
C  0.000  0.500  0.000
C  0.500  0.000  0.000

=====

x:
First-principles (GGA-PBE) data for a relaxed structure of LaSnC3, as listed in the Alexandria database.

Crystal system: cubic
Space group: Pm-3m

Lattice parameters (Å, degrees): 4.309 4.309 4.309 90.00 90.00 90.00
Atoms (fractional coordinates):
La  0.000  0.000  0.000
Sn  0.500  0.500  0.500
C  0.000  0.500  0.500
C  0.500  0.000  0.500
C  0.500  0.500  0.000

=====

Going by the energies, x is most stable and the next is 87.0 kJ/mol of atoms up.